# 1
DFT (PBE) results for a geometry-optimized Nd2TcGe5 structure.

energy: -92.24 eV per cell
crystal system: tetragonal

Lattice parameters (Å, degrees): 6.162 6.162 9.121 90.00 90.00 90.00
Space group I4mm (No. 107)
Asymmetric unit:
Nd  0.000  0.500  0.000
Tc  0.000  0.000  0.278
Ge  0.000  0.000  0.543
Ge  0.214  0.214  0.756

---

# 2
DFT (PBE) results for a geometry-optimized Nd4TcGe structure.

energy: -142.84 eV per cell
crystal system: monoclinic

Lattice parameters (Å, degrees): 9.127 13.564 6.486 90.00 120.57 90.00
Space group C2/c (No. 15)
Asymmetric unit:
Nd  0.122  0.177  0.085
Nd  0.210  0.434  0.302
Tc  0.000  0.002  0.750
Ge  0.000  0.371  0.750

---

# 3
DFT (PBE) results for a geometry-optimized NdTc2Ge4 structure.

energy: -181.55 eV per cell
crystal system: tetragonal

Lattice parameters (Å, degrees): 7.784 7.784 8.268 90.00 90.00 90.00
Space group I-42d (No. 122)
Asymmetric unit:
Nd  0.000  0.000  0.000
Tc  0.163  0.250  0.625
Ge  0.087  0.144  0.335

---

# 4
DFT (PBE) results for a geometry-optimized NdTc4Ge4 structure.

energy: -132.63 eV per cell
crystal system: tetragonal

Lattice parameters (Å, degrees): 8.343 8.343 4.758 90.00 90.00 90.00
Space group P4_2/n (No. 86, origin choice 2)
Asymmetric unit:
Nd  0.250  0.250  0.250
Tc  0.126  0.862  0.673
Ge  0.039  0.899  0.182

---

# 5
DFT (PBE) results for a geometry-optimized NdTc3Ge2 structure.

energy: -189.68 eV per cell
crystal system: monoclinic

Lattice parameters (Å, degrees): 15.545 4.164 7.667 90.00 117.48 90.00
Space group C2/m (No. 12)
Asymmetric unit:
Nd  0.141  0.000  0.059
Tc  0.048  0.000  0.404
Tc  0.085  0.500  0.645
Tc  0.202  0.500  0.476
Ge  0.023  0.500  0.186
Ge  0.200  0.000  0.726

---

# 6
DFT (PBE) results for a geometry-optimized NdTc2Ge3 structure.

energy: -165.06 eV per cell
crystal system: orthorhombic

Lattice parameters (Å, degrees): 9.755 7.744 5.864 90.00 90.00 90.00
Space group Cmcm (No. 63)
Asymmetric unit:
Nd  0.000  0.151  0.250
Tc  0.206  0.500  0.000
Ge  0.000  0.468  0.750
Ge  0.170  0.211  0.750

---

# 7
DFT (PBE) results for a geometry-optimized NdTcGe2 structure.

energy above the lowest structure with this stoichiometry: 1499 meV/atom
crystal system: trigonal

Lattice parameters (Å, degrees): 4.8958 4.8958 19.2830 90.00 90.00 120.00
Space group R-3m (No. 166, hexagonal axes)
Asymmetric unit:
Nd  0.0000  0.0000  0.0000
Tc  0.0000  0.0000  0.5000
Ge  0.0000  0.0000  0.3758

---

# 8
DFT (PBE) results for a geometry-optimized NdTc3Ge3 structure.

energy above the lowest structure with this stoichiometry: 0 meV/atom
crystal system: trigonal

Lattice parameters (Å, degrees): 6.4183 6.4183 22.8724 90.00 90.00 120.00
Space group R-3 (No. 148, hexagonal axes)
Asymmetric unit:
Nd  0.0000  0.0000  0.1785
Tc  0.0217  0.2625  0.6958
Ge  0.0533  0.2776  0.5794

---

Number 1: total magnetization 0.00 Bohr magnetons per cell. Number 2: total magnetization 0.00 Bohr magnetons per cell. Number 3: total magnetization 0.00 Bohr magnetons per cell. Number 4: total magnetization 0.00 Bohr magnetons per cell. Number 5: total magnetization 0.00 Bohr magnetons per cell. Number 6: total magnetization 0.00 Bohr magnetons per cell. Number 7: total magnetization 8.40 Bohr magnetons per cell. Number 8: total magnetization 0.00 Bohr magnetons per cell.